<i>
First-principles (SCAN) data for a PBEsol-optimized structure of Sc4Ag, as listed in the Alexandria database.

```
Sc4Ag
1.0
3.205 0.000 0.000
0.000 3.205 0.000
-1.603 -1.603 10.641
Sc Ag
4 1
Direct
0.803 0.803 0.606 Sc
0.412 0.412 0.824 Sc
0.588 0.588 0.176 Sc
0.197 0.197 0.394 Sc
0.000 0.000 0.000 Ag
```


<ii>
First-principles (SCAN) data for a PBEsol-optimized structure of Sc4Ag, as listed in the Alexandria database.

```
Sc4Ag
1.0
3.386 0.000 0.000
1.693 5.572 -0.036
1.693 0.475 5.786
Sc Ag
4 1
Direct
0.578 0.213 0.630 Sc
0.767 0.646 0.819 Sc
0.422 0.787 0.370 Sc
0.233 0.354 0.181 Sc
0.000 0.000 0.000 Ag
```


Name the most stable of them. <ii>.


<i>
First-principles (SCAN) data for a PBEsol-optimized structure of ScTaAg2, as listed in the Alexandria database.

```
ScTaAg2
1.0
2.974 0.000 0.000
1.487 2.576 0.000
1.487 0.859 9.465
Ag Sc Ta
2 1 1
Direct
0.000 0.000 0.999 Ag
0.748 0.748 0.755 Ag
0.500 0.500 0.499 Sc
0.251 0.251 0.247 Ta
```


<ii>
First-principles (SCAN) data for a PBEsol-optimized structure of ScTaAg2, as listed in the Alexandria database.

```
ScTaAg2
1.0
4.676 0.000 0.000
2.338 4.050 0.000
2.338 1.350 3.818
Ag Sc Ta
2 1 1
Direct
0.250 0.250 0.250 Ag
0.750 0.750 0.750 Ag
0.000 0.000 0.000 Sc
0.500 0.500 0.500 Ta
```


Name the most stable of them. <i>.


<i>
First-principles (SCAN) data for a PBEsol-optimized structure of ScTaAg2, as listed in the Alexandria database.

```
ScTaAg2
1.0
3.068 0.000 0.000
0.000 4.756 0.000
-1.534 -2.378 4.897
Sc Ag Ta
1 2 1
Direct
0.500 0.000 0.000 Sc
0.255 0.255 0.511 Ag
0.745 0.745 0.489 Ag
0.000 0.500 0.000 Ta
```


<ii>
First-principles (SCAN) data for a PBEsol-optimized structure of ScTaAg2, as listed in the Alexandria database.

```
ScTaAg2
1.0
-1.555 -1.527 -1.900
2.139 -1.935 -0.196
-3.408 -4.410 6.334
Sc Ta Ag
1 1 2
Direct
0.500 0.500 0.000 Sc
0.500 0.500 0.500 Ta
0.000 0.000 0.254 Ag
0.000 0.000 0.746 Ag
```


Name the most stable of them. <ii>.


<i>
First-principles (SCAN) data for a PBEsol-optimized structure of Sc2TcAg, as listed in the Alexandria database.

```
Sc2TcAg
1.0
-1.647 4.042 -1.503
-4.475 1.005 0.520
-1.303 3.231 3.028
Sc Ag Tc
2 1 1
Direct
0.250 0.250 0.250 Sc
0.750 0.750 0.750 Sc
0.000 0.000 0.000 Ag
0.500 0.500 0.500 Tc
```


<ii>
First-principles (SCAN) data for a PBEsol-optimized structure of Sc2TcAg, as listed in the Alexandria database.

```
Sc2TcAg
1.0
3.158 0.000 0.000
1.579 2.735 0.000
1.579 0.912 8.541
Sc Ag Tc
2 1 1
Direct
0.758 0.758 0.725 Sc
0.242 0.242 0.275 Sc
0.000 0.000 0.000 Ag
0.500 0.500 0.500 Tc
```


Name the most stable of them. <i>.


<i>
First-principles (SCAN) data for a PBEsol-optimized structure of ScTc2Ag, as listed in the Alexandria database.

```
ScTc2Ag
1.0
4.467 0.000 0.000
2.234 3.869 0.000
2.234 1.290 3.647
Tc Ag Sc
2 1 1
Direct
0.250 0.250 0.250 Tc
0.750 0.750 0.750 Tc
0.000 0.000 0.000 Ag
0.500 0.500 0.500 Sc
```


<ii>
First-principles (SCAN) data for a PBEsol-optimized structure of ScTc2Ag, as listed in the Alexandria database.

```
ScTc2Ag
1.0
-2.731 0.673 -0.553
0.447 -1.273 -3.757
-0.914 -5.357 1.706
Sc Tc Ag
1 2 1
Direct
0.551 0.500 0.760 Sc
0.432 0.500 0.208 Tc
0.027 0.000 0.030 Tc
0.990 0.000 0.502 Ag
```


Name the most stable of them. <ii>.


<i>
First-principles (SCAN) data for a PBEsol-optimized structure of ScTc2Ag, as listed in the Alexandria database.

```
ScTc2Ag
1.0
-1.261 0.955 -2.182
-2.433 -4.452 0.442
-1.313 3.743 3.569
Ag Tc Sc
1 2 1
Direct
0.000 0.500 0.000 Ag
0.500 0.500 0.500 Tc
0.000 0.000 0.500 Tc
0.500 0.000 0.000 Sc
```


<ii>
First-principles (SCAN) data for a PBEsol-optimized structure of ScTc2Ag, as listed in the Alexandria database.

```
ScTc2Ag
1.0
3.795 0.000 0.000
0.000 3.795 0.000
0.000 0.000 4.343
Tc Ag Sc
2 1 1
Direct
0.500 0.000 0.000 Tc
0.000 0.500 0.000 Tc
0.500 0.500 0.500 Ag
0.000 0.000 0.500 Sc
```


Name the most stable of them. <ii>.


<i>
First-principles (SCAN) data for a PBEsol-optimized structure of Sc2TlAg, as listed in the Alexandria database.

```
Sc2TlAg
1.0
-0.897 0.810 3.185
-3.550 -3.250 -0.173
5.382 -2.393 0.302
Sc Tl Ag
2 1 1
Direct
0.249 0.747 0.498 Sc
0.019 0.021 0.037 Sc
0.480 0.483 0.960 Tl
0.753 0.249 0.505 Ag
```


<ii>
First-principles (SCAN) data for a PBEsol-optimized structure of Sc2TlAg, as listed in the Alexandria database.

```
Sc2TlAg
1.0
-4.400 1.756 -1.221
-3.803 -0.615 3.015
-1.858 3.832 2.407
Ag Tl Sc
1 1 2
Direct
0.500 0.500 0.500 Ag
0.000 0.000 0.000 Tl
0.250 0.250 0.250 Sc
0.750 0.750 0.750 Sc
```


<iii>
First-principles (SCAN) data for a PBEsol-optimized structure of Sc2TlAg, as listed in the Alexandria database.

```
Sc2TlAg
1.0
3.512 0.000 0.298
0.000 4.853 0.000
-0.409 0.000 4.834
Tl Ag Sc
1 1 2
Direct
0.375 0.000 0.376 Tl
0.375 0.500 0.874 Ag
0.875 0.500 0.375 Sc
0.875 0.000 0.875 Sc
```


Name the most stable of them. <ii>.


<i>
First-principles (SCAN) data for a PBEsol-optimized structure of YScAg2, as listed in the Alexandria database.

```
YScAg2
1.0
4.927 0.000 0.000
2.463 4.267 0.000
2.463 1.422 4.023
Ag Sc Y
2 1 1
Direct
0.750 0.750 0.750 Ag
0.250 0.250 0.250 Ag
0.000 0.000 0.000 Sc
0.500 0.500 0.500 Y
```


<ii>
First-principles (SCAN) data for a PBEsol-optimized structure of YScAg2, as listed in the Alexandria database.

```
YScAg2
1.0
-0.066 1.475 3.176
0.932 -4.366 2.047
4.821 0.883 -0.310
Sc Y Ag
1 1 2
Direct
0.500 0.000 0.625 Sc
0.500 0.500 0.126 Y
0.000 0.500 0.626 Ag
0.000 0.000 0.124 Ag
```


Name the most stable of them. <i>.


<i>
First-principles (SCAN) data for a PBEsol-optimized structure of YScAg, as listed in the Alexandria database.

```
YScAg
1.0
3.495 0.000 0.000
0.000 4.799 0.000
0.000 -2.400 4.156
Ag Sc Y
1 1 1
Direct
0.939 0.000 0.000 Ag
0.758 0.667 0.333 Sc
0.303 0.333 0.667 Y
```


<ii>
First-principles (SCAN) data for a PBEsol-optimized structure of YScAg, as listed in the Alexandria database.

```
YScAg
1.0
3.425 0.000 0.000
0.000 3.425 0.000
-1.713 -1.713 5.951
Ag Y Sc
1 1 1
Direct
0.011 0.011 0.023 Ag
0.344 0.344 0.689 Y
0.644 0.644 0.289 Sc
```


Name the most stable of them. <ii>.


<i>
First-principles (SCAN) data for a PBEsol-optimized structure of Zr2ScAg, as listed in the Alexandria database.

```
Zr2ScAg
1.0
-1.850 -2.534 -0.760
3.419 -3.091 1.986
-2.286 0.334 4.456
Ag Sc Zr
1 1 2
Direct
0.500 0.500 0.500 Ag
0.500 0.000 0.000 Sc
0.000 0.500 0.000 Zr
0.000 0.000 0.500 Zr
```


<ii>
First-principles (SCAN) data for a PBEsol-optimized structure of Zr2ScAg, as listed in the Alexandria database.

```
Zr2ScAg
1.0
3.140 0.000 0.000
0.000 5.405 0.017
-1.570 -2.208 4.872
Ag Zr Sc
1 2 1
Direct
0.504 0.418 0.008 Ag
0.994 0.949 0.988 Zr
0.231 0.804 0.462 Zr
0.771 0.329 0.542 Sc
```


Name the most stable of them. <ii>.


<i>
First-principles (SCAN) data for a PBEsol-optimized structure of Zr2ScAg, as listed in the Alexandria database.

```
Zr2ScAg
1.0
-3.002 -0.770 -0.231
0.730 -2.237 -2.031
0.929 -5.561 6.460
Sc Zr Ag
1 2 1
Direct
0.500 0.500 0.500 Sc
0.000 0.000 0.237 Zr
0.000 0.000 0.763 Zr
0.500 0.500 0.000 Ag
```


<ii>
First-principles (SCAN) data for a PBEsol-optimized structure of Zr2ScAg, as listed in the Alexandria database.

```
Zr2ScAg
1.0
3.174 0.000 0.000
0.000 3.174 0.000
0.000 0.000 8.217
Ag Zr Sc
1 2 1
Direct
0.500 0.500 0.505 Ag
0.000 0.000 0.263 Zr
0.500 0.500 0.000 Zr
0.000 0.000 0.733 Sc
```


<iii>
First-principles (SCAN) data for a PBEsol-optimized structure of Zr2ScAg, as listed in the Alexandria database.

```
Zr2ScAg
1.0
-1.027 -2.720 -0.842
5.041 -1.183 -0.302
-0.059 -1.538 5.040
Ag Zr Sc
1 2 1
Direct
0.000 0.500 0.500 Ag
0.789 0.747 0.000 Zr
0.211 0.253 0.000 Zr
0.500 0.000 0.500 Sc
```


Name the most stable of them. <ii>.


<i>
First-principles (SCAN) data for a PBEsol-optimized structure of ZrScAg2, as listed in the Alexandria database.

```
ZrScAg2
1.0
3.037 0.000 0.000
1.519 2.630 0.000
1.519 0.877 9.649
Sc Ag Zr
1 2 1
Direct
0.500 0.500 0.500 Sc
0.248 0.248 0.256 Ag
0.752 0.752 0.744 Ag
0.000 0.000 0.000 Zr
```


<ii>
First-principles (SCAN) data for a PBEsol-optimized structure of ZrScAg2, as listed in the Alexandria database.

```
ZrScAg2
1.0
3.430 0.000 0.000
0.000 3.430 0.000
0.000 0.000 6.525
Ag Sc Zr
2 1 1
Direct
0.000 0.000 0.012 Ag
0.500 0.500 0.242 Ag
0.000 0.000 0.477 Sc
0.500 0.500 0.769 Zr
```


Name the most stable of them. <ii>.


<i>
First-principles (SCAN) data for a PBEsol-optimized structure of SiAgSe, as listed in the Alexandria database.

```
SiAgSe
1.0
-2.371 0.983 0.786
0.693 -0.190 2.605
3.260 6.985 1.294
Se Si Ag
1 1 1
Direct
0.668 0.663 0.337 Se
0.664 0.490 0.680 Si
0.668 0.846 0.983 Ag
```


<ii>
First-principles (SCAN) data for a PBEsol-optimized structure of SiAgSe, as listed in the Alexandria database.

```
SiAgSe
1.0
-1.679 0.541 -1.964
-3.781 -1.038 2.947
1.745 4.578 -0.231
Ag Se Si
1 1 1
Direct
0.000 0.000 0.000 Ag
0.000 0.667 0.333 Se
0.000 0.333 0.667 Si
```


Name the most stable of them. <i>.


<i>
First-principles (SCAN) data for a PBEsol-optimized structure of TcAgSe2, as listed in the Alexandria database.

```
TcAgSe2
1.0
3.038 0.000 0.000
0.000 3.038 0.000
0.000 0.000 7.377
Ag Se Tc
1 2 1
Direct
0.500 0.500 0.500 Ag
0.000 0.000 0.207 Se
0.000 0.000 0.793 Se
0.500 0.500 0.000 Tc
```


<ii>
First-principles (SCAN) data for a PBEsol-optimized structure of TcAgSe2, as listed in the Alexandria database.

```
TcAgSe2
1.0
-0.287 0.293 -2.936
2.136 -2.014 -0.410
-5.710 -6.047 -0.045
Se Tc Ag
2 1 1
Direct
0.500 0.500 0.325 Se
0.000 0.000 0.964 Se
0.000 0.000 0.484 Tc
0.500 0.500 0.727 Ag
```


Name the most stable of them. <i>.